DFT (PBE) results for a geometry-optimized Y2TlCo structure.

Computed properties:
Energy: -22.8 eV/f.u.
Formation energy from the elements: -9.6 kJ/mol of atoms
Space group: Imm2 (44)
DOS at the Fermi energy: 0.943 states/eV/atom

```
data_Y2TlCo
_chemical_formula_sum 'Y2 Tl1 Co1'
_cell_length_a 6.3450
_cell_length_b 6.3450
_cell_length_c 4.9433
_cell_angle_alpha 67.07
_cell_angle_beta 67.07
_cell_angle_gamma 31.36
_symmetry_space_group_name_H-M 'P 1'
_symmetry_Int_Tables_number 1
loop_
_symmetry_equiv_pos_as_xyz
'x,y,z'
loop_
_atom_site_label
_atom_site_fract_x
_atom_site_fract_y
_atom_site_fract_z
Co1 0.4986 0.4986 0.5012
Tl1 0.8023 0.8023 0.6977
Y1 0.9990 0.9990 0.0011
Y2 0.2001 0.2001 0.3000
```



DFT (PBE) results for a geometry-optimized AcPr5Sm2Dy structure.

Computed properties:
Energy: -39.7 eV/f.u.
Formation energy from the elements: 25.1 kJ/mol of atoms
Space group: I4/mcm (140)
DOS at the Fermi energy: 1.515 states/eV/atom

```
data_AcPr5Sm2Dy
_chemical_formula_sum 'Ac2 Pr10 Sm4 Dy2'
_cell_length_a 9.1412
_cell_length_b 9.1412
_cell_length_c 10.1953
_cell_angle_alpha 116.63
_cell_angle_beta 116.63
_cell_angle_gamma 90.00
_symmetry_space_group_name_H-M 'P 1'
_symmetry_Int_Tables_number 1
loop_
_symmetry_equiv_pos_as_xyz
'x,y,z'
loop_
_atom_site_label
_atom_site_fract_x
_atom_site_fract_y
_atom_site_fract_z
Ac1 0.2500 0.2500 0.5000
Ac2 0.7500 0.7500 0.5000
Pr1 0.9298 0.4298 0.2648
Pr2 0.6650 0.1650 0.7352
Pr3 0.0702 0.5702 0.7352
Pr4 0.1650 0.0702 0.7352
Pr5 0.5702 0.6650 0.7352
Pr6 0.8350 0.9298 0.2648
Pr7 0.4298 0.3350 0.2648
Pr8 0.3350 0.8350 0.2648
Pr9 0.5000 0.5000 0.0000
Pr10 0.0000 0.0000 0.0000
Sm1 0.1150 0.3850 0.0000
Sm2 0.6150 0.1150 0.0000
Sm3 0.3850 0.8850 0.0000
Sm4 0.8850 0.6150 0.0000
Dy1 0.2500 0.7500 0.5000
Dy2 0.7500 0.2500 0.5000
```



DFT (PBE) results for a geometry-optimized SrIn2Si structure.

Computed properties:
Energy: -13.2 eV/f.u.
Space group: I-42d (122)
ΔE_f (raw): -148 meV/atom
DOS at the Fermi energy: 0.173 states/eV/atom

```
data_SrIn2Si
_chemical_formula_sum 'Sr2 In4 Si2'
_cell_length_a 8.5630
_cell_length_b 8.5630
_cell_length_c 6.7988
_cell_angle_alpha 50.97
_cell_angle_beta 50.97
_cell_angle_gamma 90.00
_symmetry_space_group_name_H-M 'P 1'
_symmetry_Int_Tables_number 1
loop_
_symmetry_equiv_pos_as_xyz
'x,y,z'
loop_
_atom_site_label
_atom_site_fract_x
_atom_site_fract_y
_atom_site_fract_z
Sr1 0.0000 0.0000 0.0000
Sr2 0.7500 0.2500 0.5000
Si1 0.5000 0.5000 0.0000
Si2 0.2500 0.7500 0.5000
In1 0.5562 0.1250 0.2500
In2 0.1938 0.6250 0.2500
In3 0.3750 0.4438 0.7500
In4 0.8750 0.8062 0.7500
```



DFT (PBE) results for a geometry-optimized YFeCl2 structure.

Computed properties:
Energy: -20.6 eV/f.u.
ΔE to the lowest computed polymorph: 324 meV per atom
Space group: R-3m (166)
ΔE_f (raw): -498 meV/atom
DOS at the Fermi energy: 1.489 states/eV/atom

```
data_YFeCl2
_chemical_formula_sum 'Y1 Fe1 Cl2'
_cell_length_a 10.2719
_cell_length_b 10.2719
_cell_length_c 10.2719
_cell_angle_alpha 19.30
_cell_angle_beta 19.30
_cell_angle_gamma 19.30
_symmetry_space_group_name_H-M 'P 1'
_symmetry_Int_Tables_number 1
loop_
_symmetry_equiv_pos_as_xyz
'x,y,z'
loop_
_atom_site_label
_atom_site_fract_x
_atom_site_fract_y
_atom_site_fract_z
Y1 0.2500 0.2500 0.2500
Fe1 0.7500 0.7500 0.7500
Cl1 0.9780 0.9780 0.9780
Cl2 0.5220 0.5220 0.5220
```



DFT (PBE) results for a geometry-optimized AlSiSe2N structure.

Computed properties:
Energy: -23.7 eV/f.u.
ΔE to the lowest computed polymorph: 0 meV per atom
Space group: P4/mmm (123)
ΔE_f (raw): 160 meV/atom
DOS at the Fermi energy: 0.430 states/eV/atom

```
data_AlSiSe2N
_chemical_formula_sum 'Al1 Si1 Se2 N1'
_cell_length_a 5.1480
_cell_length_b 5.1480
_cell_length_c 3.2801
_cell_angle_alpha 90.00
_cell_angle_beta 90.00
_cell_angle_gamma 90.00
_symmetry_space_group_name_H-M 'P 1'
_symmetry_Int_Tables_number 1
loop_
_symmetry_equiv_pos_as_xyz
'x,y,z'
loop_
_atom_site_label
_atom_site_fract_x
_atom_site_fract_y
_atom_site_fract_z
Si1 0.0000 0.0000 0.0000
Al1 0.5000 0.5000 0.5000
Se1 0.0000 0.5000 0.0000
Se2 0.5000 0.0000 0.0000
N1 0.0000 0.0000 0.5000
```



DFT (PBE) results for a geometry-optimized NbHOs2Pt structure.

Computed properties:
Energy: -42.7 eV/f.u.
ΔE to the lowest computed polymorph: 0 meV per atom
Space group: P4/mmm (123)
DOS at the Fermi energy: 0.445 states/eV/atom

```
data_NbHOs2Pt
_chemical_formula_sum 'Nb1 H1 Os2 Pt1'
_cell_length_a 3.9710
_cell_length_b 3.9710
_cell_length_c 4.0204
_cell_angle_alpha 90.00
_cell_angle_beta 90.00
_cell_angle_gamma 90.00
_symmetry_space_group_name_H-M 'P 1'
_symmetry_Int_Tables_number 1
loop_
_symmetry_equiv_pos_as_xyz
'x,y,z'
loop_
_atom_site_label
_atom_site_fract_x
_atom_site_fract_y
_atom_site_fract_z
H1 0.0000 0.0000 0.0000
Nb1 0.0000 0.0000 0.5000
Os1 0.0000 0.5000 0.0000
Os2 0.5000 0.0000 0.0000
Pt1 0.5000 0.5000 0.5000
```